(1)
Pr5InPd2 | Alexandria | GGA-PBE | relaxed; SG = I4/mcm; DFT total energy = -5.13 eV/atom; total moment = 0.00 μB/cell; DOS(E_F) = 15.54 states/eV per cell
1.0
-6.791 -0.336 -4.566
4.084 -4.138 -5.769
-0.403 -3.754 8.220
Pr In Pd
10 2 4
Direct
0.518 0.699 0.717 Pr
0.801 0.982 0.283 Pr
0.000 0.000 0.000 Pr
0.500 0.500 0.000 Pr
0.199 0.018 0.717 Pr
0.699 0.199 0.717 Pr
0.018 0.518 0.717 Pr
0.301 0.801 0.283 Pr
0.982 0.482 0.283 Pr
0.482 0.301 0.283 Pr
0.750 0.750 0.500 In
0.250 0.250 0.500 In
0.130 0.370 0.000 Pd
0.630 0.130 0.000 Pd
0.370 0.870 0.000 Pd
0.870 0.630 0.000 Pd

=====

(2)
Pr3In4Pd2 | Alexandria | GGA-PBE | relaxed; SG = C2/m; DFT total energy = -4.49 eV/atom; total moment = 0.00 μB/cell; DOS(E_F) = 6.10 states/eV per cell
1.0
4.636 0.000 0.000
-2.318 5.842 0.042
0.000 -2.466 8.691
Pr In Pd
3 4 2
Direct
0.374 0.747 0.620 Pr
0.000 0.000 0.000 Pr
0.626 0.253 0.380 Pr
0.696 0.391 0.058 In
0.085 0.169 0.661 In
0.915 0.831 0.339 In
0.304 0.609 0.942 In
0.287 0.573 0.252 Pd
0.713 0.427 0.748 Pd

=====

(3)
PrIn4Pd8 | Alexandria | GGA-PBE | relaxed; SG = I4/mmm; DFT total energy = -4.89 eV/atom; total moment = 0.00 μB/cell; DOS(E_F) = 6.21 states/eV per cell
1.0
5.861 0.000 0.000
2.931 6.465 0.000
2.931 0.000 6.465
Pr In Pd
1 4 8
Direct
0.000 0.000 0.000 Pr
0.000 0.000 0.500 In
0.500 0.000 0.500 In
0.000 0.500 0.000 In
0.500 0.500 0.000 In
0.000 0.343 0.657 Pd
0.000 0.657 0.343 Pd
0.343 0.657 0.657 Pd
0.657 0.343 0.343 Pd
0.500 0.780 0.220 Pd
0.500 0.220 0.780 Pd
0.280 0.220 0.220 Pd
0.720 0.780 0.780 Pd

=====

(4)
Pr2InPd9 | Alexandria | GGA-PBE | relaxed; SG = R-3m; DFT total energy = -5.42 eV/atom; total moment = 0.00 μB/cell; DOS(E_F) = 7.95 states/eV per cell
1.0
5.403 0.000 0.000
2.702 4.679 0.000
2.702 1.560 9.073
Pr In Pd
2 1 9
Direct
0.865 0.865 0.406 Pr
0.135 0.135 0.594 Pr
0.000 0.000 0.000 In
0.667 0.667 0.000 Pd
0.333 0.333 0.000 Pd
0.500 0.500 0.500 Pd
0.414 0.414 0.253 Pd
0.918 0.414 0.253 Pd
0.414 0.918 0.253 Pd
0.586 0.586 0.747 Pd
0.586 0.082 0.747 Pd
0.082 0.586 0.747 Pd

=====

(5)
Pr3In4Pd4 | Alexandria | GGA-PBE | relaxed; SG = Immm; DFT total energy = -4.89 eV/atom; total moment = 0.00 μB/cell; DOS(E_F) = 7.03 states/eV per cell
1.0
-3.065 2.413 -2.005
-1.353 -5.840 -4.959
-3.009 -1.039 8.147
Pr In Pd
3 4 4
Direct
0.120 0.120 0.240 Pr
0.880 0.880 0.760 Pr
0.000 0.500 0.000 Pr
0.327 0.128 0.654 In
0.673 0.474 0.346 In
0.673 0.872 0.346 In
0.327 0.526 0.654 In
0.218 0.718 0.436 Pd
0.782 0.282 0.564 Pd
0.500 0.809 0.000 Pd
0.500 0.191 0.000 Pd

=====

(6)
PrInPd2 | Alexandria | GGA-PBE | relaxed; SG = P4/mmm; DFT total energy = -5.08 eV/atom; total moment = 0.00 μB/cell; DOS(E_F) = 2.43 states/eV per cell
1.0
3.526 0.000 0.000
0.000 3.526 0.000
0.000 0.000 6.825
Pr Pd In
1 2 1
Direct
0.500 0.500 0.500 Pr
0.000 0.000 0.785 Pd
0.000 0.000 0.215 Pd
0.500 0.500 0.000 In

=====

(7)
PrIn4Pd6 | Alexandria | GGA-PBE | relaxed; SG = I-42m; DFT total energy = -4.64 eV/atom; total moment = 0.00 μB/cell; DOS(E_F) = 5.74 states/eV per cell
1.0
-2.456 -2.843 -5.933
-2.281 -2.013 6.329
-1.656 6.531 1.976
Pr In Pd
1 4 6
Direct
0.000 0.000 0.000 Pr
0.000 0.108 0.519 In
0.589 0.481 0.481 In
0.000 0.519 0.108 In
0.411 0.892 0.892 In
0.000 0.753 0.424 Pd
0.000 0.424 0.753 Pd
0.671 0.247 0.247 Pd
0.500 0.000 0.500 Pd
0.329 0.576 0.576 Pd
0.500 0.500 0.000 Pd

=====

(8)
PrInPd2 | Alexandria | GGA-PBE | relaxed; SG = P4/mmm; DFT total energy = -5.07 eV/atom; total moment = 0.00 μB/cell; DOS(E_F) = 2.43 states/eV per cell
1.0
-1.833 -0.904 -2.892
-3.379 -2.139 2.810
-2.464 4.214 0.244
Pr Pd In
1 2 1
Direct
0.500 0.500 0.500 Pr
0.000 0.000 0.500 Pd
0.000 0.500 0.000 Pd
0.500 0.000 0.000 In

=====

(9)
PrInPdPt | Alexandria | GGA-PBE | relaxed; SG = R3m; DFT total energy = -5.50 eV/atom; total moment = 0.00 μB/cell; DOS(E_F) = 1.72 states/eV per cell
1.0
-4.334 -1.507 -0.929
3.317 -0.235 -3.293
0.395 -3.590 3.979
Pr In Pd Pt
1 1 1 1
Direct
0.616 0.231 0.489 Pr
0.119 0.238 0.998 In
0.399 0.797 0.838 Pd
0.833 0.666 0.142 Pt

=====

(10)
PrPuInPd | Alexandria | GGA-PBE | relaxed; SG = F-43m; DFT total energy = -7.06 eV/atom; total moment = 5.68 μB/cell; DOS(E_F) = 11.37 states/eV per cell
1.0
5.285 0.000 0.000
2.643 4.577 0.000
2.643 1.526 4.315
Pr In Pd Pu
1 1 1 1
Direct
0.750 0.750 0.750 Pr
0.500 0.500 0.500 In
0.000 0.000 0.000 Pd
0.250 0.250 0.250 Pu

=====

(11)
PrInPdRh | Alexandria | GGA-PBE | relaxed; SG = F-43m; DFT total energy = -5.62 eV/atom; total moment = 0.00 μB/cell; DOS(E_F) = 3.54 states/eV per cell
1.0
-4.053 2.246 -1.516
-4.373 -1.770 1.230
-2.793 2.405 3.191
Pr Rh Pd In
1 1 1 1
Direct
0.750 0.750 0.750 Pr
0.500 0.500 0.500 Rh
0.000 0.000 0.000 Pd
0.250 0.250 0.250 In

=====

(12)
Pr3InSb2Pd9 | Alexandria | GGA-PBE | relaxed; SG = P-3m1; total moment = 0.00 μB/cell; formation energy (no corrections) = -0.47 eV per atom; DOS(E_F) = 7.93 states/eV per cell
1.0
6.788 0.000 0.000
-3.394 5.879 0.000
0.000 0.000 9.516
Pr In Sb Pd
3 1 2 9
Direct
0.333 0.667 0.750 Pr
0.000 0.000 0.000 Pr
0.667 0.333 0.250 Pr
0.000 0.000 0.500 In
0.333 0.667 0.188 Sb
0.667 0.333 0.812 Sb
0.868 0.132 0.730 Pd
0.868 0.735 0.730 Pd
0.265 0.132 0.730 Pd
0.735 0.868 0.270 Pd
0.132 0.265 0.270 Pd
0.132 0.868 0.270 Pd
0.500 0.000 0.000 Pd
0.000 0.500 0.000 Pd
0.500 0.500 0.000 Pd

=====

(13)
PrScInPd | Alexandria | GGA-PBE | relaxed; SG = F-43m; DFT total energy = -5.27 eV/atom; total moment = 0.00 μB/cell; DOS(E_F) = 3.19 states/eV per cell
1.0
5.138 0.000 0.000
2.569 4.450 0.000
2.569 1.483 4.195
Pr Sc Pd In
1 1 1 1
Direct
0.500 0.500 0.500 Pr
0.000 0.000 0.000 Sc
0.750 0.750 0.750 Pd
0.250 0.250 0.250 In

=====

(14)
PrInSi2Pd5 | Alexandria | GGA-PBE | relaxed; SG = P4/mmm; total moment = 0.00 μB/cell; formation energy (no corrections) = -0.52 eV per atom; DOS(E_F) = 5.51 states/eV per cell
1.0
4.098 0.000 0.000
0.000 4.098 0.000
0.000 0.000 10.915
Pr In Si Pd
1 1 2 5
Direct
0.000 0.000 0.500 Pr
0.000 0.000 0.000 In
0.500 0.500 0.285 Si
0.500 0.500 0.715 Si
0.000 0.500 0.175 Pd
0.500 0.000 0.175 Pd
0.000 0.500 0.825 Pd
0.500 0.000 0.825 Pd
0.500 0.500 0.500 Pd

=====

(15)
Pr2InSi3Pd4 | Alexandria | GGA-PBE | relaxed; SG = P-4m2; total moment = 0.00 μB/cell; formation energy (no corrections) = -0.82 eV per atom; DOS(E_F) = 3.96 states/eV per cell
1.0
-0.501 -1.696 -3.931
1.939 -3.619 1.314
-9.200 -3.894 2.853
Pr In Si Pd
2 1 3 4
Direct
0.500 0.000 0.242 Pr
0.000 0.500 0.758 Pr
0.500 0.500 0.500 In
0.000 0.000 0.500 Si
0.500 0.000 0.879 Si
0.000 0.500 0.121 Si
0.500 0.500 0.000 Pd
0.000 0.000 0.000 Pd
0.500 0.000 0.648 Pd
0.000 0.500 0.352 Pd

=====

(16)
Pr2InSn3Pd4 | Alexandria | GGA-PBE | relaxed; SG = P-4m2; DFT total energy = -5.27 eV/atom; total moment = 0.00 μB/cell; DOS(E_F) = 5.21 states/eV per cell
1.0
-2.034 -1.815 -3.677
4.093 -1.134 -1.705
-0.559 -9.610 5.052
Pr In Sn Pd
2 1 3 4
Direct
0.500 0.000 0.242 Pr
0.000 0.500 0.758 Pr
0.500 0.500 0.500 In
0.000 0.000 0.500 Sn
0.500 0.000 0.873 Sn
0.000 0.500 0.127 Sn
0.500 0.500 0.000 Pd
0.000 0.000 0.000 Pd
0.500 0.000 0.634 Pd
0.000 0.500 0.366 Pd

=====

(17)
Pr2InSnPd6 | Alexandria | GGA-PBE | relaxed; SG = C2/m; DFT total energy = -5.36 eV/atom; total moment = 0.00 μB/cell; DOS(E_F) = 5.37 states/eV per cell
1.0
6.522 0.877 1.240
0.905 6.569 1.314
4.624 4.626 6.535
Pr In Sn Pd
2 1 1 6
Direct
0.750 0.250 0.502 Pr
0.250 0.750 0.498 Pr
0.000 0.000 0.000 In
0.500 0.500 0.000 Sn
0.193 0.308 0.499 Pd
0.692 0.807 0.000 Pd
0.249 0.751 0.810 Pd
0.751 0.249 0.190 Pd
0.308 0.193 0.000 Pd
0.807 0.692 0.501 Pd

=====

(18)
PrIn2SnPd4 | Alexandria | GGA-PBE | relaxed; SG = R-3m; DFT total energy = -4.96 eV/atom; total moment = 0.00 μB/cell; DOS(E_F) = 4.87 states/eV per cell
1.0
-2.828 -2.794 -2.402
1.643 -3.927 -1.858
-2.371 -6.530 5.897
Pr In Sn Pd
1 2 1 4
Direct
0.000 0.000 0.000 Pr
0.751 0.751 0.748 In
0.249 0.249 0.252 In
0.500 0.500 0.500 Sn
0.397 0.397 0.810 Pd
0.868 0.868 0.396 Pd
0.132 0.132 0.604 Pd
0.603 0.603 0.190 Pd

=====

(19)
Pr2InSn4Pd3 | Alexandria | GGA-PBE | relaxed; SG = P-4m2; DFT total energy = -5.06 eV/atom; total moment = 0.00 μB/cell; DOS(E_F) = 4.27 states/eV per cell
1.0
4.497 0.000 0.000
0.000 4.497 0.000
0.000 0.000 11.688
Pr In Sn Pd
2 1 4 3
Direct
0.500 0.000 0.244 Pr
0.000 0.500 0.756 Pr
0.500 0.500 0.500 In
0.500 0.500 0.000 Sn
0.000 0.000 0.000 Sn
0.500 0.000 0.649 Sn
0.000 0.500 0.351 Sn
0.000 0.000 0.500 Pd
0.500 0.000 0.870 Pd
0.000 0.500 0.130 Pd

=====

(20)
SrPrInPd | Alexandria | GGA-PBE | relaxed; SG = F-43m; DFT total energy = -4.04 eV/atom; total moment = 0.00 μB/cell; DOS(E_F) = 3.89 states/eV per cell
1.0
5.428 0.000 0.000
2.714 4.701 0.000
2.714 1.567 4.432
Pr Sr Pd In
1 1 1 1
Direct
0.250 0.250 0.250 Pr
0.750 0.750 0.750 Sr
0.000 0.000 0.000 Pd
0.500 0.500 0.500 In